No. 1
! GGA-PBEsol IrRhW3, optimized geometry; values from VASP
! * energy of formation: 2.153 eV per atom
! * electronic total energy: -0.7147 Ry/atom
! * space group: No. 221
! * calculated volume: 100.3 Å³ per cell
&SYSTEM
  ibrav = 0, nat = 5, ntyp = 3
/
ATOMIC_SPECIES
Ir 192.22 Ir.upf
Rh 102.91 Rh.upf
W 183.84 W.upf
CELL_PARAMETERS angstrom
4.6470 0.0000 0.0000
0.0000 4.6470 0.0000
0.0000 0.0000 4.6470
ATOMIC_POSITIONS crystal
Ir 0.0000 0.0000 0.0000
Rh 0.5000 0.5000 0.5000
W 0.0000 0.0000 0.5000
W 0.0000 0.5000 0.0000
W 0.5000 0.0000 0.0000


No. 2
! GGA-PBEsol IrRh2W, optimized geometry; values from VASP
! * energy of formation: -0.263 eV per atom
! * electronic total energy: -0.7526 Ry/atom
! * space group: No. 123
! * calculated volume: 56.1 Å³ per cell
! * offset from the most stable computed form: 0.0 kJ per mole of atoms
&SYSTEM
  ibrav = 0, nat = 4, ntyp = 3
/
ATOMIC_SPECIES
Ir 192.22 Ir.upf
Rh 102.91 Rh.upf
W 183.84 W.upf
CELL_PARAMETERS angstrom
3.8177 0.0000 0.0000
0.0000 3.8177 0.0000
0.0000 0.0000 3.8522
ATOMIC_POSITIONS crystal
Ir 0.0000 0.0000 0.0000
Rh 0.0000 0.5000 0.5000
Rh 0.5000 0.0000 0.5000
W 0.5000 0.5000 0.0000


No. 3
! GGA-PBEsol Y2IrRh, optimized geometry; values from VASP
! * energy of formation: -0.796 eV per atom
! * electronic total energy: -0.6393 Ry/atom
! * space group: No. 65
! * calculated volume: 154.3 Å³ per cell
! * offset from the most stable computed form: 1.2 kJ per mole of atoms
&SYSTEM
  ibrav = 0, nat = 8, ntyp = 3
/
ATOMIC_SPECIES
Y 88.91 Y.upf
Ir 192.22 Ir.upf
Rh 102.91 Rh.upf
CELL_PARAMETERS angstrom
6.7893 0.0000 0.0000
0.0000 6.8805 0.0000
0.0000 0.0000 3.3027
ATOMIC_POSITIONS crystal
Y 0.2500 0.2500 0.0000
Y 0.2500 0.7500 0.0000
Y 0.7500 0.2500 0.0000
Y 0.7500 0.7500 0.0000
Ir 0.0000 0.0000 0.5000
Ir 0.5000 0.5000 0.5000
Rh 0.0000 0.5000 0.5000
Rh 0.5000 0.0000 0.5000


No. 4
! GGA-PBEsol YIrRh2, optimized geometry; values from VASP
! * energy of formation: -0.238 eV per atom
! * electronic total energy: -0.6224 Ry/atom
! * space group: No. 12
! * calculated volume: 129.6 Å³ per cell
! * offset from the most stable computed form: 18.2 kJ per mole of atoms
&SYSTEM
  ibrav = 0, nat = 8, ntyp = 3
/
ATOMIC_SPECIES
Y 88.91 Y.upf
Ir 192.22 Ir.upf
Rh 102.91 Rh.upf
CELL_PARAMETERS angstrom
9.2085 0.0000 0.0000
0.0000 2.9169 0.0000
-0.9500 0.0000 4.8267
ATOMIC_POSITIONS crystal
Y 0.0000 0.0000 0.0000
Y 0.5000 0.5000 0.0000
Ir 0.0000 0.5000 0.5000
Ir 0.5000 0.0000 0.5000
Rh 0.2417 0.0000 0.7156
Rh 0.2583 0.5000 0.2844
Rh 0.7417 0.5000 0.7156
Rh 0.7583 0.0000 0.2844


No. 5
! GGA-PBEsol Y2IrRh, optimized geometry; values from VASP
! * energy of formation: -0.809 eV per atom
! * electronic total energy: -0.6402 Ry/atom
! * space group: No. 225
! * calculated volume: 308.6 Å³ per cell
! * offset from the most stable computed form: 0.0 kJ per mole of atoms
&SYSTEM
  ibrav = 0, nat = 16, ntyp = 3
/
ATOMIC_SPECIES
Y 88.91 Y.upf
Ir 192.22 Ir.upf
Rh 102.91 Rh.upf
CELL_PARAMETERS angstrom
6.7579 0.0000 0.0000
0.0000 6.7579 0.0000
0.0000 0.0000 6.7579
ATOMIC_POSITIONS crystal
Y 0.2500 0.2500 0.2500
Y 0.2500 0.2500 0.7500
Y 0.2500 0.7500 0.2500
Y 0.2500 0.7500 0.7500
Y 0.7500 0.2500 0.2500
Y 0.7500 0.2500 0.7500
Y 0.7500 0.7500 0.2500
Y 0.7500 0.7500 0.7500
Ir 0.0000 0.0000 0.0000
Ir 0.0000 0.5000 0.5000
Ir 0.5000 0.0000 0.5000
Ir 0.5000 0.5000 0.0000
Rh 0.0000 0.0000 0.5000
Rh 0.0000 0.5000 0.0000
Rh 0.5000 0.0000 0.0000
Rh 0.5000 0.5000 0.5000


No. 6
! GGA-PBEsol YIrRh2, optimized geometry; values from VASP
! * energy of formation: -0.427 eV per atom
! * electronic total energy: -0.6363 Ry/atom
! * space group: No. 123
! * calculated volume: 63.3 Å³ per cell
! * offset from the most stable computed form: 0.0 kJ per mole of atoms
&SYSTEM
  ibrav = 0, nat = 4, ntyp = 3
/
ATOMIC_SPECIES
Y 88.91 Y.upf
Ir 192.22 Ir.upf
Rh 102.91 Rh.upf
CELL_PARAMETERS angstrom
4.0114 0.0000 0.0000
0.0000 4.0114 0.0000
0.0000 0.0000 3.9346
ATOMIC_POSITIONS crystal
Y 0.0000 0.0000 0.0000
Ir 0.5000 0.5000 0.0000
Rh 0.0000 0.5000 0.5000
Rh 0.5000 0.0000 0.5000


No. 7
! GGA-PBEsol YIrRh2, optimized geometry; values from VASP
! * energy of formation: -0.097 eV per atom
! * electronic total energy: -0.6121 Ry/atom
! * space group: No. 99
! * calculated volume: 64.2 Å³ per cell
! * offset from the most stable computed form: 31.8 kJ per mole of atoms
&SYSTEM
  ibrav = 0, nat = 4, ntyp = 3
/
ATOMIC_SPECIES
Y 88.91 Y.upf
Ir 192.22 Ir.upf
Rh 102.91 Rh.upf
CELL_PARAMETERS angstrom
2.8786 0.0000 0.0000
0.0000 2.8786 0.0000
0.0000 0.0000 7.7460
ATOMIC_POSITIONS crystal
Y 0.0000 0.0000 0.0000
Ir 0.5000 0.5000 0.2813
Rh 0.0000 0.0000 0.5026
Rh 0.5000 0.5000 0.7265


No. 8
! GGA-PBEsol Y2IrRh, optimized geometry; values from VASP
! * energy of formation: -0.478 eV per atom
! * electronic total energy: -0.6159 Ry/atom
! * space group: No. 25
! * calculated volume: 81.3 Å³ per cell
! * offset from the most stable computed form: 32.0 kJ per mole of atoms
&SYSTEM
  ibrav = 0, nat = 4, ntyp = 3
/
ATOMIC_SPECIES
Y 88.91 Y.upf
Ir 192.22 Ir.upf
Rh 102.91 Rh.upf
CELL_PARAMETERS angstrom
3.2436 0.0000 0.0000
0.0000 4.5044 0.0000
0.0000 0.0000 5.5649
ATOMIC_POSITIONS crystal
Y 0.0000 0.0000 0.0000
Y 0.5000 0.5000 0.3958
Ir 0.0000 0.0000 0.5030
Rh 0.5000 0.5000 0.8877


No. 9
! GGA-PBEsol Y2IrRh, optimized geometry; values from VASP
! * energy of formation: -0.722 eV per atom
! * electronic total energy: -0.6338 Ry/atom
! * space group: No. 38
! * calculated volume: 164.6 Å³ per cell
! * offset from the most stable computed form: 8.4 kJ per mole of atoms
&SYSTEM
  ibrav = 0, nat = 8, ntyp = 3
/
ATOMIC_SPECIES
Y 88.91 Y.upf
Ir 192.22 Ir.upf
Rh 102.91 Rh.upf
CELL_PARAMETERS angstrom
4.1459 0.0000 0.0000
0.0000 3.8049 0.0000
0.0000 0.0000 10.4356
ATOMIC_POSITIONS crystal
Y 0.0000 0.0000 0.0000
Y 0.0000 0.5000 0.5000
Y 0.5000 0.0000 0.2888
Y 0.5000 0.5000 0.7888
Ir 0.0000 0.0000 0.7241
Ir 0.0000 0.5000 0.2241
Rh 0.5000 0.0000 0.5626
Rh 0.5000 0.5000 0.0626


No. 10
! GGA-PBEsol ZnIrRh2, optimized geometry; values from VASP
! * energy of formation: -0.110 eV per atom
! * electronic total energy: -0.5167 Ry/atom
! * space group: No. 12
! * calculated volume: 108.2 Å³ per cell
&SYSTEM
  ibrav = 0, nat = 8, ntyp = 3
/
ATOMIC_SPECIES
Zn 65.41 Zn.upf
Ir 192.22 Ir.upf
Rh 102.91 Rh.upf
CELL_PARAMETERS angstrom
8.8156 0.0000 0.0000
0.0000 2.7061 0.0000
-0.7819 0.0000 4.5375
ATOMIC_POSITIONS crystal
Zn 0.0000 0.0000 0.0000
Zn 0.5000 0.5000 0.0000
Ir 0.0000 0.5000 0.5000
Ir 0.5000 0.0000 0.5000
Rh 0.2469 0.0000 0.7465
Rh 0.2531 0.5000 0.2535
Rh 0.7469 0.5000 0.7465
Rh 0.7531 0.0000 0.2535


No. 11
! GGA-PBEsol ZnIrRh2, optimized geometry; values from VASP
! * energy of formation: -0.132 eV per atom
! * electronic total energy: -0.5183 Ry/atom
! * space group: No. 8
! * calculated volume: 108.3 Å³ per cell
&SYSTEM
  ibrav = 0, nat = 8, ntyp = 3
/
ATOMIC_SPECIES
Zn 65.41 Zn.upf
Ir 192.22 Ir.upf
Rh 102.91 Rh.upf
CELL_PARAMETERS angstrom
8.8406 0.0000 0.0000
0.0000 2.6980 0.0000
-0.8109 0.0000 4.5416
ATOMIC_POSITIONS crystal
Zn 0.0000 0.0000 0.0000
Zn 0.5000 0.5000 0.0000
Ir 0.2471 0.0000 0.7279
Ir 0.7471 0.5000 0.7279
Rh 0.0009 0.5000 0.5008
Rh 0.2519 0.5000 0.2337
Rh 0.5009 0.0000 0.5008
Rh 0.7519 0.0000 0.2337


No. 12
! GGA-PBEsol ZnIrRh2, optimized geometry; values from VASP
! * energy of formation: -0.135 eV per atom
! * electronic total energy: -0.5186 Ry/atom
! * space group: No. 65
! * calculated volume: 108.2 Å³ per cell
&SYSTEM
  ibrav = 0, nat = 8, ntyp = 3
/
ATOMIC_SPECIES
Zn 65.41 Zn.upf
Ir 192.22 Ir.upf
Rh 102.91 Rh.upf
CELL_PARAMETERS angstrom
5.3314 0.0000 0.0000
0.0000 7.5505 0.0000
0.0000 0.0000 2.6879
ATOMIC_POSITIONS crystal
Zn 0.0000 0.0000 0.0000
Zn 0.5000 0.5000 0.0000
Ir 0.0000 0.5000 0.0000
Ir 0.5000 0.0000 0.0000
Rh 0.2500 0.2500 0.5000
Rh 0.2500 0.7500 0.5000
Rh 0.7500 0.2500 0.5000
Rh 0.7500 0.7500 0.5000


No. 13
! GGA-PBEsol ZnIrRh2, optimized geometry; values from VASP
! * energy of formation: -0.122 eV per atom
! * electronic total energy: -0.5176 Ry/atom
! * space group: No. 25
! * calculated volume: 54.1 Å³ per cell
&SYSTEM
  ibrav = 0, nat = 4, ntyp = 3
/
ATOMIC_SPECIES
Zn 65.41 Zn.upf
Ir 192.22 Ir.upf
Rh 102.91 Rh.upf
CELL_PARAMETERS angstrom
2.6967 0.0000 0.0000
0.0000 4.3384 0.0000
0.0000 0.0000 4.6272
ATOMIC_POSITIONS crystal
Zn 0.0000 0.0000 0.0000
Ir 0.0000 0.5000 0.6551
Rh 0.5000 0.0000 0.4976
Rh 0.5000 0.5000 0.1524


No. 14
! GGA-PBEsol ZnIrRh2, optimized geometry; values from VASP
! * energy of formation: -0.160 eV per atom
! * electronic total energy: -0.5204 Ry/atom
! * space group: No. 123
! * calculated volume: 54.1 Å³ per cell
&SYSTEM
  ibrav = 0, nat = 4, ntyp = 3
/
ATOMIC_SPECIES
Zn 65.41 Zn.upf
Ir 192.22 Ir.upf
Rh 102.91 Rh.upf
CELL_PARAMETERS angstrom
2.7073 0.0000 0.0000
0.0000 2.7073 0.0000
0.0000 0.0000 7.3803
ATOMIC_POSITIONS crystal
Zn 0.0000 0.0000 0.0000
Ir 0.0000 0.0000 0.5000
Rh 0.5000 0.5000 0.2503
Rh 0.5000 0.5000 0.7497


No. 15
! GGA-PBEsol ZnIrRh2, optimized geometry; values from VASP
! * energy of formation: -0.121 eV per atom
! * electronic total energy: -0.5176 Ry/atom
! * space group: No. 166
! * calculated volume: 162.3 Å³ per cell
&SYSTEM
  ibrav = 0, nat = 12, ntyp = 3
/
ATOMIC_SPECIES
Zn 65.41 Zn.upf
Ir 192.22 Ir.upf
Rh 102.91 Rh.upf
CELL_PARAMETERS angstrom
2.6955 0.0000 0.0000
-1.3477 2.3343 0.0000
0.0000 0.0000 25.7930
ATOMIC_POSITIONS crystal
Zn 0.0000 0.0000 0.0000
Zn 0.3333 0.6667 0.6667
Zn 0.6667 0.3333 0.3333
Ir 0.0000 0.0000 0.5000
Ir 0.3333 0.6667 0.1667
Ir 0.6667 0.3333 0.8333
Rh 0.0000 0.0000 0.2510
Rh 0.0000 0.0000 0.7490
Rh 0.3333 0.6667 0.4156
Rh 0.3333 0.6667 0.9177
Rh 0.6667 0.3333 0.0823
Rh 0.6667 0.3333 0.5844